# LiMn2InP

LiMn2InP after structural relaxation (GGA-PBEsol, Alexandria via LeMat-Bulk).

a b c (Å): 4.3771 4.3771 4.4070
angles (deg): 90.00 90.00 90.00
Last column: nearest neighbours and their distance in Å.
Element x y z (fractional)
P  0.0000  0.0000  0.0000  4 Mn 2.19, 2 Li 2.20
Mn  0.0000  0.5000  0.0000  2 P 2.19
Mn  0.5000  0.0000  0.0000  2 P 2.19
Li  0.0000  0.0000  0.5000  2 P 2.20
In  0.5000  0.5000  0.5000  4 Li 3.10, 8 Mn 3.11

The formation energy comes out at 0.08 eV/atom. The space group is P4/mmm, No. 123. The volume comes out at 84.4 Å³ per cell. The theoretical density comes out at 5165 kg/m³.



# Cs2ScBeSn

Cs2ScBeSn after structural relaxation (GGA-PBEsol, Alexandria via LeMat-Bulk).

a b c (Å): 4.7248 6.6741 6.6741
angles (deg): 90.00 90.00 90.00
Last column: nearest neighbours and their distance in Å.
Element x y z (fractional)
Cs  0.0000  0.0000  0.5000  2 Sc 3.34
Cs  0.0000  0.5000  0.0000  2 Sc 3.34
Sc  0.0000  0.0000  0.0000  2 Be 2.36
Sn  0.5000  0.5000  0.5000  8 Cs 4.09
Be  0.5000  0.0000  0.0000  2 Sc 2.36

The formation energy comes out at 1.11 eV/atom. The space group is P4/mmm, No. 123. The volume comes out at 210.5 Å³ per cell. The theoretical density comes out at 3460 kg/m³.



# CaBeAs2

CaBeAs2 after structural relaxation (GGA-PBEsol, Alexandria via LeMat-Bulk).

a b c (Å): 3.0086 3.6080 7.6139
angles (deg): 90.00 90.00 90.00
Last column: nearest neighbours and their distance in Å.
Element x y z (fractional)
Be  0.0000  0.0000  0.7012  1 As 2.22
As  0.0000  0.0000  0.9933  1 Be 2.22
As  0.5000  0.5000  0.5922  4 Be 2.49
Ca  0.5000  0.5000  0.2133  5 As 2.88-2.89, 2 Ca 3.01

The formation energy comes out at -0.15 eV/atom. The space group is Pmm2, No. 25. The volume comes out at 82.6 Å³ per cell. The theoretical density comes out at 3997 kg/m³.



# Ta4MnAg

Ta4MnAg after structural relaxation (GGA-PBEsol, Alexandria via LeMat-Bulk).

a b c (Å): 5.3446 5.3446 5.3446
angles (deg): 60.00 60.00 60.00
Last column: nearest neighbours and their distance in Å.
Element x y z (fractional)
Ag  0.2500  0.2500  0.2500  12 Ta 3.14, 4 Mn 3.27
Mn  0.0000  0.0000  0.0000  12 Ta 3.13, 4 Ag 3.27
Ta  0.6259  0.6259  0.6259  6 Ta 2.65-2.69
Ta  0.6259  0.1224  0.6259  6 Ta 2.65-2.69
Ta  0.1224  0.6259  0.6259  6 Ta 2.65-2.69
Ta  0.6259  0.6259  0.1224  6 Ta 2.65-2.69

The formation energy comes out at 0.64 eV/atom. The space group is F-43m, No. 216. The volume comes out at 108.0 Å³ per cell. The theoretical density comes out at 13637 kg/m³.



# Al3CrTc

Al3CrTc after structural relaxation (GGA-PBEsol, Alexandria via LeMat-Bulk).

a b c (Å): 4.6577 4.6577 4.6577
angles (deg): 90.00 90.00 90.00
Last column: nearest neighbours and their distance in Å.
Element x y z (fractional)
Cr  0.5000  0.5000  0.5000  12 Al 3.29
Tc  0.0000  0.0000  0.0000  6 Al 2.33
Al  0.0000  0.5000  0.0000  2 Tc 2.33
Al  0.0000  0.0000  0.5000  2 Tc 2.33
Al  0.5000  0.0000  0.0000  2 Tc 2.33

The formation energy comes out at 0.61 eV/atom. The space group is Pm-3m, No. 221. The volume comes out at 101.0 Å³ per cell. The theoretical density comes out at 3795 kg/m³.



# Ta3AsPd

Ta3AsPd after structural relaxation (GGA-PBEsol, Alexandria via LeMat-Bulk).

a b c (Å): 4.6393 4.6393 4.6393
angles (deg): 90.00 90.00 90.00
Last column: nearest neighbours and their distance in Å.
Element x y z (fractional)
As  0.0000  0.0000  0.0000  6 Ta 2.32
Pd  0.5000  0.5000  0.5000  12 Ta 3.28
Ta  0.0000  0.5000  0.0000  2 As 2.32
Ta  0.0000  0.0000  0.5000  2 As 2.32
Ta  0.5000  0.0000  0.0000  2 As 2.32

The formation energy comes out at 0.96 eV/atom. The relative energy among the computed polymorphs is 0 meV per atom. The space group is Pm-3m, No. 221. The volume comes out at 99.9 Å³ per cell. The theoretical density comes out at 12043 kg/m³.



# SrSm2Se4

SrSm2Se4 after structural relaxation (GGA-PBEsol, Alexandria via LeMat-Bulk).

a b c (Å): 7.6550 7.6550 7.6550
angles (deg): 109.40 109.40 109.61
Last column: nearest neighbours and their distance in Å.
Element x y z (fractional)
Sr  0.2500  0.7500  0.5000  8 Se 3.03-3.18
Sr  0.0000  0.0000  0.0000  8 Se 3.03-3.18
Sm  0.1250  0.5021  0.8771  8 Se 2.92-3.15
Sm  0.7521  0.8750  0.3771  8 Se 2.92-3.15
Sm  0.6250  0.2479  0.1229  8 Se 2.92-3.15
Sm  0.4979  0.3750  0.6229  8 Se 2.92-3.15
Se  0.3863  0.9800  0.2515  4 Sm 2.92-3.15, 2 Sr 3.03-3.18
Se  0.3849  0.4785  0.2485  4 Sm 2.92-3.15, 2 Sr 3.03-3.18
Se  0.8651  0.6137  0.5936  4 Sm 2.92-3.15, 2 Sr 3.03-3.18
Se  0.2300  0.1363  0.7515  4 Sm 2.92-3.15, 2 Sr 3.03-3.18
Se  0.0200  0.2715  0.4064  4 Sm 2.92-3.15, 2 Sr 3.03-3.18
Se  0.7285  0.1349  0.7485  4 Sm 2.92-3.15, 2 Sr 3.03-3.18
Se  0.8637  0.6151  0.0936  4 Sm 2.92-3.15, 2 Sr 3.03-3.18
Se  0.5215  0.7700  0.9064  4 Sm 2.92-3.15, 2 Sr 3.03-3.18

The calculation puts the formation energy from raw total energies at -1.965 eV per atom. The space group is I-42d, No. 122. The volume comes out at 345.3 Å³ per cell. The theoretical density comes out at 6773 kg/m³.



# NaPd2Pt

NaPd2Pt after structural relaxation (GGA-PBEsol, Alexandria via LeMat-Bulk).

a b c (Å): 4.4353 4.4353 4.4353
angles (deg): 60.00 60.00 60.00
Last column: nearest neighbours and their distance in Å.
Element x y z (fractional)
Na  0.0000  0.0000  0.0000  8 Pd 2.72
Pd  0.2500  0.2500  0.2500  4 Na 2.72, 4 Pt 2.72
Pd  0.7500  0.7500  0.7500  4 Na 2.72, 4 Pt 2.72
Pt  0.5000  0.5000  0.5000  8 Pd 2.72

The formation energy comes out at 0.11 eV/atom. The space group is Fm-3m, No. 225. The volume comes out at 61.7 Å³ per cell. The theoretical density comes out at 11598 kg/m³.



# Ag3AuSe2

Ag3AuSe2 after structural relaxation (GGA-PBEsol, Alexandria via LeMat-Bulk).

a b c (Å): 8.5137 8.5137 8.5137
angles (deg): 109.47 109.47 109.47
Last column: nearest neighbours and their distance in Å.
Element x y z (fractional)
Ag  0.7500  0.1197  0.3697  4 Se 2.71-2.84, 2 Au 2.97, 2 Ag 2.97
Ag  0.2500  0.3803  0.1303  4 Se 2.71-2.84, 2 Au 2.97, 2 Ag 2.97
Ag  0.6303  0.2500  0.8803  4 Se 2.71-2.84, 2 Au 2.97, 2 Ag 2.97
Ag  0.8697  0.7500  0.6197  4 Se 2.71-2.84, 2 Au 2.97, 2 Ag 2.97
Ag  0.3803  0.6303  0.7500  4 Se 2.71-2.84, 2 Au 2.97, 2 Ag 2.97
Ag  0.1197  0.8697  0.2500  4 Se 2.71-2.84, 2 Au 2.97, 2 Ag 2.97
Ag  0.3803  0.7500  0.1303  4 Se 2.71-2.84, 2 Au 2.97, 2 Ag 2.97
Ag  0.1197  0.2500  0.3697  4 Se 2.71-2.84, 2 Au 2.97, 2 Ag 2.97
Ag  0.2500  0.8697  0.6197  4 Se 2.71-2.84, 2 Au 2.97, 2 Ag 2.97
Ag  0.7500  0.6303  0.8803  4 Se 2.71-2.84, 2 Au 2.97, 2 Ag 2.97
Ag  0.8697  0.1197  0.7500  4 Se 2.71-2.84, 2 Au 2.97, 2 Ag 2.97
Ag  0.6303  0.3803  0.2500  4 Se 2.71-2.84, 2 Au 2.97, 2 Ag 2.97
Au  0.7500  0.0000  0.0000  2 Se 2.49
Au  0.5000  0.7500  0.5000  2 Se 2.49
Au  0.0000  0.5000  0.2500  2 Se 2.49
Au  0.7500  0.7500  0.2500  2 Se 2.49
Se  0.4581  0.0000  0.0000  1 Au 2.49, 3 Ag 2.71
Se  0.5000  0.4581  0.5000  1 Au 2.49, 3 Ag 2.71
Se  0.0000  0.5000  0.9581  1 Au 2.49, 3 Ag 2.71
Se  0.0419  0.0419  0.5419  1 Au 2.49, 3 Ag 2.71
Se  0.5000  0.0419  0.5000  1 Au 2.49, 3 Ag 2.71
Se  0.0419  0.0000  0.0000  1 Au 2.49, 3 Ag 2.71
Se  0.0000  0.5000  0.5419  1 Au 2.49, 3 Ag 2.71
Se  0.4581  0.4581  0.9581  1 Au 2.49, 3 Ag 2.71

The calculation puts the formation energy from raw total energies at -0.057 eV per atom. The space group is I4_132, No. 214. The volume comes out at 475.0 Å³ per cell. The theoretical density comes out at 9487 kg/m³.



# HfNi2Pt2

HfNi2Pt2 after structural relaxation (GGA-PBEsol, Alexandria via LeMat-Bulk).

a b c (Å): 3.4227 3.4227 6.8599
angles (deg): 104.45 104.45 90.00
Last column: nearest neighbours and their distance in Å.
Element x y z (fractional)
Ni  0.2500  0.7500  0.5000  4 Ni 2.42, 4 Pt 2.53
Ni  0.7500  0.2500  0.5000  4 Ni 2.42, 4 Pt 2.53
Hf  0.0000  0.0000  0.0000  8 Pt 2.77
Pt  0.3955  0.3955  0.7911  4 Ni 2.53, 1 Pt 2.68, 4 Hf 2.77
Pt  0.6045  0.6045  0.2089  4 Ni 2.53, 1 Pt 2.68, 4 Hf 2.77

The formation energy comes out at -0.44 eV/atom. The space group is I4/mmm, No. 139. The volume comes out at 75.2 Å³ per cell. The theoretical density comes out at 15150 kg/m³.



# LiZr2Al

LiZr2Al after structural relaxation (GGA-PBEsol, Alexandria via LeMat-Bulk).

a b c (Å): 4.8115 4.8115 4.8115
angles (deg): 60.00 60.00 60.00
Last column: nearest neighbours and their distance in Å.
Element x y z (fractional)
Al  0.5000  0.5000  0.5000  4 Zr 2.95, 4 Li 2.95
Li  0.2500  0.2500  0.2500  4 Al 2.95, 4 Zr 2.95
Zr  0.0000  0.0000  0.0000  4 Li 2.95, 4 Zr 2.95
Zr  0.7500  0.7500  0.7500  4 Zr 2.95, 4 Al 2.95

The formation energy comes out at 0.21 eV/atom. The space group is F-43m, No. 216. The volume comes out at 78.8 Å³ per cell. The theoretical density comes out at 4562 kg/m³.



# SrMg2In

SrMg2In after structural relaxation (GGA-PBEsol, Alexandria via LeMat-Bulk).

a b c (Å): 3.5869 4.9208 6.6180
angles (deg): 90.00 105.72 90.00
Last column: nearest neighbours and their distance in Å.
Element x y z (fractional)
In  0.3104  0.5000  0.6207  4 Mg 2.93-3.21
Mg  0.1861  0.0000  0.3721  2 In 2.93, 4 Mg 3.23
Mg  0.6016  0.5000  0.2031  2 In 3.21, 6 Mg 3.23-3.59
Sr  0.9238  0.0000  0.8476  3 Mg 3.34-3.52, 4 In 3.37, 2 Sr 3.59

The formation energy comes out at -0.16 eV/atom. The space group is Amm2, No. 38. The volume comes out at 112.4 Å³ per cell. The theoretical density comes out at 3708 kg/m³.



# LaCrC3

LaCrC3 after structural relaxation (GGA-PBEsol, Alexandria via LeMat-Bulk).

a b c (Å): 3.8765 3.8765 3.8765
angles (deg): 90.00 90.00 90.00
Last column: nearest neighbours and their distance in Å.
Element x y z (fractional)
Cr  0.0000  0.0000  0.0000  6 C 1.94
C  0.0000  0.5000  0.0000  2 Cr 1.94
C  0.0000  0.0000  0.5000  2 Cr 1.94
C  0.5000  0.0000  0.0000  2 Cr 1.94
La  0.5000  0.5000  0.5000  12 C 2.74

The formation energy comes out at 0.54 eV/atom. The space group is Pm-3m, No. 221. The volume comes out at 58.3 Å³ per cell. The theoretical density comes out at 6469 kg/m³.